Entry 1:
A geometry-optimized Ag4HgCl8 structure. Source: Alexandria via LeMat-Bulk, functional PBE-GGA. Values from VASP.

Quantum ESPRESSO input file:
```
&SYSTEM
  ibrav = 0, nat = 13, ntyp = 3
/
ATOMIC_SPECIES
Ag 107.87 Ag.upf
Cl 35.45 Cl.upf
Hg 200.59 Hg.upf
ATOMIC_POSITIONS angstrom
Ag -4.084 0.711 5.407
Ag 4.386 -1.514 6.776
Ag 6.182 0.047 3.476
Ag 5.690 3.880 2.282
Cl 4.368 1.867 3.062
Cl 4.576 -2.460 4.417
Cl -2.188 -0.991 5.784
Cl 0.018 -3.381 3.714
Cl 2.626 -1.611 1.021
Cl 6.574 -0.522 0.992
Cl 1.760 0.097 5.755
Cl -0.190 0.946 2.359
Hg 4.481 -3.029 1.281
CELL_PARAMETERS angstrom
-4.576 4.544 4.213
0.984 -7.666 2.387
7.978 1.608 0.175
```

Values from the calculation:
The formation energy from raw total energies is -0.41 eV/atom. The crystal system is triclinic. The calculation puts the density of states at the Fermi level at 12.84 states/eV/f.u. The total energy is -31.87 eV for the cell shown. The value obtained for the magnetization is 1.6 μB per cell.

---

Entry 2:
A geometry-optimized RuC2BrO structure. Source: Alexandria via LeMat-Bulk, functional PBE-GGA. Values from VASP.

Quantum ESPRESSO input file:
```
&SYSTEM
  ibrav = 0, nat = 5, ntyp = 4
/
ATOMIC_SPECIES
Ru 101.07 Ru.upf
C 12.01 C.upf
O 16.00 O.upf
Br 79.90 Br.upf
ATOMIC_POSITIONS angstrom
Ru 0.000 2.435 0.000
C 0.000 0.000 1.890
C 1.890 0.000 0.000
O 1.890 2.435 1.890
Br 0.000 0.000 0.000
CELL_PARAMETERS angstrom
3.781 0.000 0.000
0.000 4.871 0.000
0.000 0.000 3.781
```

Values from the calculation:
The formation energy from raw total energies is 3.28 eV/atom. The crystal system is tetragonal. The calculation puts the density of states at the Fermi level at 5.34 states/eV/f.u. The total energy is -17.98 eV for the cell shown. The value obtained for the magnetization is 0.9 μB per cell.